Entry 1:
The following is a PBE-GGA calculation of a relaxed CeScNiAu crystal, from Alexandria. Values from VASP.

Total moment ... 0.7 μB/cell
VASP energy ... -23.03 eV for the cell shown

Structure (Quantum ESPRESSO input):
```
&SYSTEM
  ibrav = 0, nat = 4, ntyp = 4
/
ATOMIC_SPECIES
Sc 44.96 Sc.upf
Ni 58.69 Ni.upf
Au 196.97 Au.upf
Ce 140.12 Ce.upf
ATOMIC_POSITIONS angstrom
Sc -2.3423 5.1143 2.0783
Ni -1.1712 2.5571 1.0391
Au -3.5135 7.6714 3.1174
Ce 0.0000 0.0000 0.0000
CELL_PARAMETERS angstrom
-0.6316 4.7690 -0.9120
-4.1314 2.2317 1.3876
0.0784 3.2278 3.6809
```



Entry 2:
The following is a PBE-GGA calculation of a relaxed Hf3BN crystal, from Alexandria. Values from VASP.

E above lowest polymorph ... 334 meV/atom
Total moment ... 0.0 μB/cell

Structure (Quantum ESPRESSO input):
```
&SYSTEM
  ibrav = 0, nat = 5, ntyp = 3
/
ATOMIC_SPECIES
B 10.81 B.upf
Hf 178.49 Hf.upf
N 14.01 N.upf
ATOMIC_POSITIONS angstrom
B 2.1444 2.1444 2.1444
Hf 0.0000 2.1444 0.0000
Hf 0.0000 0.0000 2.1444
Hf 2.1444 0.0000 0.0000
N 0.0000 0.0000 0.0000
CELL_PARAMETERS angstrom
4.2888 0.0000 0.0000
0.0000 4.2888 0.0000
0.0000 0.0000 4.2888
```



Entry 3:
The following is a PBE-GGA calculation of a relaxed RbBiOs2 crystal, from Alexandria. Values from VASP.

Total moment ... 0.0 μB/cell
VASP energy ... -38.67 eV for the cell shown

Structure (Quantum ESPRESSO input):
```
&SYSTEM
  ibrav = 0, nat = 8, ntyp = 3
/
ATOMIC_SPECIES
Os 190.23 Os.upf
Bi 208.98 Bi.upf
Rb 85.47 Rb.upf
ATOMIC_POSITIONS angstrom
Os 6.5681 2.0401 0.7436
Os 1.5924 6.1204 0.7436
Os 6.1204 5.6727 2.2307
Os 10.2007 10.6484 2.2307
Bi 0.0000 0.0000 0.0000
Bi 8.1605 4.0803 1.4871
Rb 4.0803 4.0803 0.0000
Rb 4.0803 8.1605 1.4871
CELL_PARAMETERS angstrom
8.1605 0.0000 0.0000
0.0000 8.1605 0.0000
4.0803 4.0803 2.9743
```



Entry 4:
The following is a PBE-GGA calculation of a relaxed HgSbI2 crystal, from Alexandria. Values from VASP.

E above lowest polymorph ... 105 meV/atom
Total moment ... 0.0 μB/cell

Structure (Quantum ESPRESSO input):
```
&SYSTEM
  ibrav = 0, nat = 4, ntyp = 3
/
ATOMIC_SPECIES
Hg 200.59 Hg.upf
Sb 121.76 Sb.upf
I 126.90 I.upf
ATOMIC_POSITIONS angstrom
Hg 0.1872 1.8085 5.6482
Sb -0.7779 3.3058 0.3830
I 2.5305 0.3480 2.4725
I -1.0582 -0.4349 8.9856
CELL_PARAMETERS angstrom
4.0636 1.1769 -0.4361
-1.0919 3.7035 -0.1652
-2.1265 -4.1717 10.9630
```



Entry 5:
The following is a PBE-GGA calculation of a relaxed Be4ZnFe crystal, from Alexandria. Values from VASP.

Total moment ... 1.7 μB/cell
VASP energy ... -25.13 eV for the cell shown

Structure (Quantum ESPRESSO input):
```
&SYSTEM
  ibrav = 0, nat = 6, ntyp = 3
/
ATOMIC_SPECIES
Be 9.01 Be.upf
Fe 55.84 Fe.upf
Zn 65.41 Zn.upf
ATOMIC_POSITIONS angstrom
Be 3.2085 1.8524 1.3098
Be 4.2605 3.6745 1.3098
Be 4.2605 2.4598 3.0277
Be 5.3124 1.8524 1.3098
Fe 6.3907 3.6897 2.6090
Zn 0.0000 0.0000 0.0000
CELL_PARAMETERS angstrom
4.2604 0.0000 0.0000
2.1302 3.6897 0.0000
2.1302 1.2299 3.4786
```



Entry 6:
The following is a PBE-GGA calculation of a relaxed Na5Sn2Sb4 crystal, from Alexandria. Values from VASP.

Total moment ... 0.0 μB/cell
VASP energy ... -33.65 eV for the cell shown

Structure (Quantum ESPRESSO input):
```
&SYSTEM
  ibrav = 0, nat = 11, ntyp = 3
/
ATOMIC_SPECIES
Na 22.99 Na.upf
Sn 118.71 Sn.upf
Sb 121.76 Sb.upf
ATOMIC_POSITIONS angstrom
Na 0.6710 -6.6064 -1.6208
Na 1.3118 -3.9534 -3.7774
Na 0.7747 -5.1157 1.8139
Na -1.9864 -1.2253 0.5910
Na 1.2082 -5.4442 -7.2121
Sn 3.9550 -6.6094 -0.3949
Sn -1.9721 -3.9505 -5.0033
Sb 2.3070 -4.0740 -0.6836
Sb 1.4437 -8.8931 -3.7594
Sb -0.3241 -6.4859 -4.7146
Sb 0.5392 -1.6668 -1.6388
CELL_PARAMETERS angstrom
-3.9729 -2.4505 1.1821
-0.2730 -3.7790 -8.7414
6.2287 -4.3304 2.1611
```



Entry 7:
The following is a PBE-GGA calculation of a relaxed CrMoRh2 crystal, from Alexandria. Values from VASP.

E above lowest polymorph ... 77 meV/atom
Total moment ... 0.0 μB/cell

Structure (Quantum ESPRESSO input):
```
&SYSTEM
  ibrav = 0, nat = 4, ntyp = 3
/
ATOMIC_SPECIES
Cr 52.00 Cr.upf
Mo 95.94 Mo.upf
Rh 102.91 Rh.upf
ATOMIC_POSITIONS angstrom
Cr 4.7205 1.4373 2.4991
Mo 2.2868 0.6963 1.1262
Rh 8.5317 2.5978 0.1096
Rh 7.0779 2.1551 3.4048
CELL_PARAMETERS angstrom
4.6593 -0.0018 0.0332
3.8676 2.5982 0.0332
0.8665 0.2638 4.6489
```



Entry 8:
The following is a PBE-GGA calculation of a relaxed CsRb2LiBr4 crystal, from Alexandria. Values from VASP.

Total moment ... 0.3 μB/cell
VASP energy ... -49.84 eV for the cell shown

Structure (Quantum ESPRESSO input):
```
&SYSTEM
  ibrav = 0, nat = 16, ntyp = 4
/
ATOMIC_SPECIES
Cs 132.91 Cs.upf
Rb 85.47 Rb.upf
Li 6.94 Li.upf
Br 79.90 Br.upf
ATOMIC_POSITIONS angstrom
Cs -4.9395 10.9450 4.6132
Cs -7.6580 2.6057 -0.3192
Rb -8.0823 6.6111 3.6764
Rb -2.7212 0.8629 -1.7781
Rb -4.5152 6.9396 0.6177
Rb -9.8762 12.6878 6.0721
Li -8.7911 10.5950 2.6168
Li -3.8064 2.9557 1.6773
Br -4.7446 0.6902 1.0646
Br -6.7932 9.2712 1.8144
Br -7.8529 12.8604 3.2294
Br -5.8042 4.2795 2.4797
Br -2.2526 7.6303 3.0083
Br 0.0000 0.0000 0.0000
Br -9.7260 9.4099 4.9225
Br -2.8714 4.1407 -0.6285
CELL_PARAMETERS angstrom
-0.7750 1.5219 -4.4406
-7.3171 -3.2318 2.7182
-4.5053 15.2606 6.0165
```



Entry 9:
The following is a PBE-GGA calculation of a relaxed VGaRh6 crystal, from Alexandria. Values from VASP.

E above lowest polymorph ... 449 meV/atom
Total moment ... 0.0 μB/cell

Structure (Quantum ESPRESSO input):
```
&SYSTEM
  ibrav = 0, nat = 8, ntyp = 3
/
ATOMIC_SPECIES
V 50.94 V.upf
Ga 69.72 Ga.upf
Rh 102.91 Rh.upf
ATOMIC_POSITIONS angstrom
V 3.5544 3.2967 3.3517
Ga 0.0000 0.0000 0.0000
Rh 1.2176 2.8450 2.0255
Rh 2.9284 1.0005 2.0255
Rh 4.1804 5.5930 4.6780
Rh 5.8912 3.7484 4.6780
Rh 3.5569 3.2990 6.0615
Rh 3.5519 3.2944 0.6420
CELL_PARAMETERS angstrom
4.5269 0.5253 0.1110
0.8640 4.4746 0.1110
1.7180 1.5934 6.4815
```



Entry 10:
The following is a PBE-GGA calculation of a relaxed Li2NdMg9 crystal, from Alexandria. Values from VASP.

E above lowest polymorph ... 0 meV/atom
Total moment ... 0.0 μB/cell

Structure (Quantum ESPRESSO input):
```
&SYSTEM
  ibrav = 0, nat = 24, ntyp = 3
/
ATOMIC_SPECIES
Li 6.94 Li.upf
Nd 144.24 Nd.upf
Mg 24.30 Mg.upf
ATOMIC_POSITIONS angstrom
Li -5.6285 -7.8178 8.0428
Li -9.1505 -7.9881 3.1535
Li -6.3688 -4.5827 4.7473
Li -5.3540 -10.5016 4.2224
Nd -3.0561 -0.7215 2.2266
Nd -3.5693 -7.0011 2.8149
Mg -6.6254 -7.7226 5.0415
Mg 0.0000 0.0000 0.0000
Mg -4.1493 -10.6624 1.5524
Mg -3.6505 -3.4959 4.5592
Mg -4.2604 -5.9318 6.2603
Mg -6.5956 -8.9479 2.0778
Mg -8.2720 -10.4237 4.5139
Mg -1.2616 -4.1438 2.8608
Mg -5.0994 -8.4646 -0.4793
Mg -1.3780 -5.3815 5.6275
Mg -6.5587 -10.3409 6.8924
Mg -2.9749 -4.2267 0.4824
Mg -0.8843 -8.2608 5.3721
Mg -5.5931 -5.5853 -0.2240
Mg -2.4360 -10.5796 3.9309
Mg -5.3639 -3.5787 2.1807
Mg -7.0893 -6.0686 2.3332
Mg -3.7667 -8.8112 6.0050
CELL_PARAMETERS angstrom
-6.1122 -1.4429 4.4532
-5.5633 -6.8106 -3.1877
1.4807 -6.4701 6.5910
```



Entry 11:
The following is a PBE-GGA calculation of a relaxed Be2Ir2Rh crystal, from Alexandria. Values from VASP.

E above lowest polymorph ... 421 meV/atom
Total moment ... 0.0 μB/cell

Structure (Quantum ESPRESSO input):
```
&SYSTEM
  ibrav = 0, nat = 5, ntyp = 3
/
ATOMIC_SPECIES
Be 9.01 Be.upf
Ir 192.22 Ir.upf
Rh 102.91 Rh.upf
ATOMIC_POSITIONS angstrom
Be -2.5540 0.0593 -1.5458
Be -5.8453 -0.0120 -2.5250
Ir -4.2893 1.4011 -1.8345
Ir -4.1101 -1.3538 -2.2364
Rh 0.0000 0.0000 0.0000
CELL_PARAMETERS angstrom
-1.8975 2.9623 -1.7863
-1.5391 -2.5476 -2.5899
-4.9628 -0.3674 0.3053
```



Entry 12:
The following is a PBE-GGA calculation of a relaxed SmDyPuCd crystal, from Alexandria. Values from VASP.

Total moment ... 6.5 μB/cell
VASP energy ... -24.28 eV for the cell shown

Structure (Quantum ESPRESSO input):
```
&SYSTEM
  ibrav = 0, nat = 4, ntyp = 4
/
ATOMIC_SPECIES
Cd 112.41 Cd.upf
Dy 162.50 Dy.upf
Sm 150.36 Sm.upf
Pu 244.00 Pu.upf
ATOMIC_POSITIONS angstrom
Cd -6.2086 -2.2488 -0.8761
Dy -9.3128 -3.3732 -1.3142
Sm -3.1043 -1.1244 -0.4381
Pu 0.0000 0.0000 0.0000
CELL_PARAMETERS angstrom
-4.7811 0.9809 -2.3998
-3.0046 -4.1318 -1.8658
-4.6314 -1.3468 2.5134
```